Model 1:
VASP calculation (PBE) on Ca2PrY after structural relaxation. Values from VASP.

Symmetry: P4/mmm
Size of the total moment, μB per formula unit: 0.00

Geometry as Quantum ESPRESSO input:
```
&SYSTEM
  ibrav = 0, nat = 4, ntyp = 3
/
ATOMIC_SPECIES
Pr 140.91 Pr.upf
Y 88.91 Y.upf
Ca 40.08 Ca.upf
CELL_PARAMETERS angstrom
-2.2972 0.8675 5.0653
-4.5211 -1.6441 -1.7688
1.2069 -4.7901 1.3677
ATOMIC_POSITIONS angstrom
Pr -2.8057 -2.7834 2.3321
Y -1.1486 0.4337 2.5327
Ca 0.6034 -2.3950 0.6838
Ca -2.2605 -0.8221 -0.8844
```

---

Model 2:
VASP calculation (PBE) on Ca2PrY after structural relaxation. Values from VASP.

Symmetry: R-3m
Size of the total moment, μB per formula unit: 0.25

Geometry as Quantum ESPRESSO input:
```
&SYSTEM
  ibrav = 0, nat = 4, ntyp = 3
/
ATOMIC_SPECIES
Pr 140.91 Pr.upf
Y 88.91 Y.upf
Ca 40.08 Ca.upf
CELL_PARAMETERS angstrom
-1.7626 2.3268 2.2885
-3.4209 -0.8031 1.1877
3.0782 -5.4823 10.9509
ATOMIC_POSITIONS angstrom
Pr -1.0527 -1.9793 7.2135
Y 0.0000 0.0000 0.0000
Ca -0.5421 -0.9700 3.5747
Ca -1.5633 -2.9885 10.8524
```

---

Model 3:
VASP calculation (PBE) on Ca2PrY after structural relaxation. Values from VASP.

Symmetry: Fm-3m
Size of the total moment, μB per formula unit: 0.00

Geometry as Quantum ESPRESSO input:
```
&SYSTEM
  ibrav = 0, nat = 4, ntyp = 3
/
ATOMIC_SPECIES
Pr 140.91 Pr.upf
Y 88.91 Y.upf
Ca 40.08 Ca.upf
CELL_PARAMETERS angstrom
5.9295 0.0000 0.0000
2.9648 5.1351 0.0000
2.9648 1.7117 4.8414
ATOMIC_POSITIONS angstrom
Pr 0.0000 0.0000 0.0000
Y 5.9295 3.4234 2.4207
Ca 2.9648 1.7117 1.2104
Ca 8.8943 5.1351 3.6311
```

---

Referenced to the most stable arrangement, the calculated values in meV per atom are model 1 36; model 2 0; model 3 27.

---

Model 1:
VASP calculation (PBE) on CaPrY after structural relaxation. Values from VASP.

Symmetry: Cm
Size of the total moment, μB per formula unit: 0.51

Geometry as Quantum ESPRESSO input:
```
&SYSTEM
  ibrav = 0, nat = 3, ntyp = 3
/
ATOMIC_SPECIES
Pr 140.91 Pr.upf
Ca 40.08 Ca.upf
Y 88.91 Y.upf
CELL_PARAMETERS angstrom
3.3755 0.0000 0.0000
0.0000 3.3754 -0.0019
-1.6877 -1.6933 9.7803
ATOMIC_POSITIONS angstrom
Pr 1.6877 1.6837 6.6262
Ca 0.0000 -0.0047 9.6078
Y 1.6877 1.6853 3.3227
```

---

Model 2:
VASP calculation (PBE) on CaPrY after structural relaxation. Values from VASP.

Symmetry: C2/m
Size of the total moment, μB per formula unit: 0.00

Geometry as Quantum ESPRESSO input:
```
&SYSTEM
  ibrav = 0, nat = 6, ntyp = 3
/
ATOMIC_SPECIES
Ca 40.08 Ca.upf
Pr 140.91 Pr.upf
Y 88.91 Y.upf
CELL_PARAMETERS angstrom
-2.3617 0.8048 2.6412
-2.7910 -0.9974 -2.1918
2.2563 -15.8706 4.3543
ATOMIC_POSITIONS angstrom
Ca -2.3096 -14.2639 4.7800
Ca -0.5868 -1.7994 0.0236
Pr -2.9814 -4.5270 1.2125
Pr 0.0850 -11.5363 3.5911
Y -2.6544 -9.2750 2.9516
Y -0.2420 -6.7883 1.8520
```

---

Model 3:
VASP calculation (PBE) on CaPrY after structural relaxation. Values from VASP.

Symmetry: I4mm
Size of the total moment, μB per formula unit: 0.00

Geometry as Quantum ESPRESSO input:
```
&SYSTEM
  ibrav = 0, nat = 3, ntyp = 3
/
ATOMIC_SPECIES
Pr 140.91 Pr.upf
Y 88.91 Y.upf
Ca 40.08 Ca.upf
CELL_PARAMETERS angstrom
3.7131 0.0000 0.0000
0.0000 3.7131 0.0000
-1.8565 -1.8565 7.9011
ATOMIC_POSITIONS angstrom
Pr 1.8565 1.8565 2.7749
Y 0.0000 0.0000 5.1519
Ca 1.8565 1.8565 7.8755
```

---

Referenced to the most stable arrangement, the calculated values in meV per atom are model 1 440; model 2 16; model 3 0.

---

Model 1:
VASP calculation (PBE) on CaPrZn after structural relaxation. Values from VASP.

Symmetry: I4mm
Size of the total moment, μB per formula unit: 0.00

Geometry as Quantum ESPRESSO input:
```
&SYSTEM
  ibrav = 0, nat = 3, ntyp = 3
/
ATOMIC_SPECIES
Pr 140.91 Pr.upf
Zn 65.41 Zn.upf
Ca 40.08 Ca.upf
CELL_PARAMETERS angstrom
3.6638 0.0000 0.0000
0.0000 3.6638 0.0000
-1.8319 -1.8319 6.6770
ATOMIC_POSITIONS angstrom
Pr 0.0000 0.0000 4.0493
Zn 1.8319 1.8319 2.2488
Ca 0.0000 0.0000 0.3789
```

---

Model 2:
VASP calculation (PBE) on CaPrZn after structural relaxation. Values from VASP.

Symmetry: P3m1
Size of the total moment, μB per formula unit: 0.00

Geometry as Quantum ESPRESSO input:
```
&SYSTEM
  ibrav = 0, nat = 3, ntyp = 3
/
ATOMIC_SPECIES
Pr 140.91 Pr.upf
Zn 65.41 Zn.upf
Ca 40.08 Ca.upf
CELL_PARAMETERS angstrom
-2.6612 -1.6898 -2.2310
3.7167 -2.6389 -2.4345
-2.2560 -1.9928 4.2004
ATOMIC_POSITIONS angstrom
Pr -0.1503 -0.0954 -0.1260
Zn -1.2130 -2.8101 1.1941
Ca 0.1628 -3.4160 -1.5332
```

---

Referenced to the most stable arrangement, the calculated values in meV per atom are model 1 0; model 2 172.

---

Model 1:
VASP calculation (PBE) on CaPrZn after structural relaxation. Values from VASP.

Symmetry: P4/nmm
Size of the total moment, μB per formula unit: 0.00

Geometry as Quantum ESPRESSO input:
```
&SYSTEM
  ibrav = 0, nat = 6, ntyp = 3
/
ATOMIC_SPECIES
Zn 65.41 Zn.upf
Ca 40.08 Ca.upf
Pr 140.91 Pr.upf
CELL_PARAMETERS angstrom
4.8174 0.0000 0.0000
0.0000 4.8174 0.0000
0.0000 0.0000 7.7553
ATOMIC_POSITIONS angstrom
Zn 0.0000 2.4087 5.8515
Zn 2.4087 0.0000 1.9038
Ca 2.4087 2.4087 0.0000
Ca 0.0000 0.0000 0.0000
Pr 2.4087 0.0000 4.7920
Pr 0.0000 2.4087 2.9633
```

---

Model 2:
VASP calculation (PBE) on CaPrZn after structural relaxation. Values from VASP.

Symmetry: F-43m
Size of the total moment, μB per formula unit: 0.00

Geometry as Quantum ESPRESSO input:
```
&SYSTEM
  ibrav = 0, nat = 3, ntyp = 3
/
ATOMIC_SPECIES
Pr 140.91 Pr.upf
Zn 65.41 Zn.upf
Ca 40.08 Ca.upf
CELL_PARAMETERS angstrom
5.1373 0.0000 0.0000
2.5686 4.4490 0.0000
2.5686 1.4830 4.1946
ATOMIC_POSITIONS angstrom
Pr 0.0000 0.0000 0.0000
Zn 2.5686 1.4830 1.0486
Ca 5.1373 2.9660 2.0973
```

---

Referenced to the most stable arrangement, the calculated values in meV per atom are model 1 0; model 2 50.

---

Model 1:
VASP calculation (PBE) on CaPrZn2 after structural relaxation. Values from VASP.

Symmetry: P4/mmm
Size of the total moment, μB per formula unit: 0.00

Geometry as Quantum ESPRESSO input:
```
&SYSTEM
  ibrav = 0, nat = 4, ntyp = 3
/
ATOMIC_SPECIES
Pr 140.91 Pr.upf
Zn 65.41 Zn.upf
Ca 40.08 Ca.upf
CELL_PARAMETERS angstrom
3.7025 0.0000 0.0000
0.0000 5.2263 0.0000
0.0000 0.0000 5.2263
ATOMIC_POSITIONS angstrom
Pr 1.8513 2.6132 2.6132
Zn 0.0000 0.0000 2.6132
Zn 0.0000 2.6132 0.0000
Ca 1.8513 0.0000 0.0000
```

---

Model 2:
VASP calculation (PBE) on CaPrZn2 after structural relaxation. Values from VASP.

Symmetry: Fm-3m
Size of the total moment, μB per formula unit: 0.00

Geometry as Quantum ESPRESSO input:
```
&SYSTEM
  ibrav = 0, nat = 4, ntyp = 3
/
ATOMIC_SPECIES
Pr 140.91 Pr.upf
Zn 65.41 Zn.upf
Ca 40.08 Ca.upf
CELL_PARAMETERS angstrom
-4.4768 2.6589 0.3491
-4.3624 -1.9481 -2.0995
-3.8320 -1.7363 3.0877
ATOMIC_POSITIONS angstrom
Pr 0.0000 0.0000 0.0000
Zn -3.1678 -0.2564 0.3343
Zn -9.5034 -0.7691 1.0030
Ca -6.3356 -0.5128 0.6687
```

---

Referenced to the most stable arrangement, the calculated values in meV per atom are model 1 13; model 2 0.

---

Model 1:
VASP calculation (PBE) on CaPr2Zn after structural relaxation. Values from VASP.

Symmetry: P4/mmm
Size of the total moment, μB per formula unit: 0.00

Geometry as Quantum ESPRESSO input:
```
&SYSTEM
  ibrav = 0, nat = 4, ntyp = 3
/
ATOMIC_SPECIES
Pr 140.91 Pr.upf
Zn 65.41 Zn.upf
Ca 40.08 Ca.upf
CELL_PARAMETERS angstrom
-2.8959 -1.2961 -2.0768
2.2634 -2.6434 -1.5062
-2.2107 -5.6632 6.6168
ATOMIC_POSITIONS angstrom
Pr -1.7856 -4.5742 5.3445
Pr -0.4251 -1.0889 1.2723
Zn -0.3163 -1.9698 -1.7915
Ca -1.4216 -4.8014 1.5169
```

---

Model 2:
VASP calculation (PBE) on CaPr2Zn after structural relaxation. Values from VASP.

Symmetry: P4/mmm
Size of the total moment, μB per formula unit: 0.00

Geometry as Quantum ESPRESSO input:
```
&SYSTEM
  ibrav = 0, nat = 4, ntyp = 3
/
ATOMIC_SPECIES
Pr 140.91 Pr.upf
Zn 65.41 Zn.upf
Ca 40.08 Ca.upf
CELL_PARAMETERS angstrom
4.1849 0.0000 0.0000
0.0000 5.3981 0.0000
0.0000 0.0000 5.3981
ATOMIC_POSITIONS angstrom
Pr 0.0000 0.0000 2.6990
Pr 0.0000 2.6990 0.0000
Zn 2.0924 0.0000 0.0000
Ca 2.0924 2.6990 2.6990
```

---

Model 3:
VASP calculation (PBE) on CaPr2Zn after structural relaxation. Values from VASP.

Symmetry: R-3m
Size of the total moment, μB per formula unit: 0.00

Geometry as Quantum ESPRESSO input:
```
&SYSTEM
  ibrav = 0, nat = 4, ntyp = 3
/
ATOMIC_SPECIES
Pr 140.91 Pr.upf
Zn 65.41 Zn.upf
Ca 40.08 Ca.upf
CELL_PARAMETERS angstrom
3.7656 0.0000 0.0000
1.8828 3.2611 0.0000
1.8828 1.0870 10.9192
ATOMIC_POSITIONS angstrom
Pr 1.8828 1.0870 2.2211
Pr 5.6484 3.2611 8.6982
Zn 0.0000 0.0000 0.0000
Ca 3.7656 2.1741 5.4596
```

---

Referenced to the most stable arrangement, the calculated values in meV per atom are model 1 0; model 2 119; model 3 108.

---

Model 1:
VASP calculation (PBE) on Ca2PrZn after structural relaxation. Values from VASP.

Symmetry: R3m
Size of the total moment, μB per formula unit: 0.00

Geometry as Quantum ESPRESSO input:
```
&SYSTEM
  ibrav = 0, nat = 4, ntyp = 3
/
ATOMIC_SPECIES
Ca 40.08 Ca.upf
Pr 140.91 Pr.upf
Zn 65.41 Zn.upf
CELL_PARAMETERS angstrom
-0.1325 -1.9400 3.2615
3.0744 -1.8587 1.2297
4.1196 7.4334 6.7993
ATOMIC_POSITIONS angstrom
Ca 3.4712 5.6363 5.7041
Ca 1.6306 0.5350 2.5949
Pr 3.5231 1.7960 5.6323
Zn 1.9674 -2.5154 3.0045
```

---

Model 2:
VASP calculation (PBE) on Ca2PrZn after structural relaxation. Values from VASP.

Symmetry: I4/mmm
Size of the total moment, μB per formula unit: 0.00

Geometry as Quantum ESPRESSO input:
```
&SYSTEM
  ibrav = 0, nat = 8, ntyp = 3
/
ATOMIC_SPECIES
Ca 40.08 Ca.upf
Pr 140.91 Pr.upf
Zn 65.41 Zn.upf
CELL_PARAMETERS angstrom
-1.6159 0.4674 -5.0260
-2.4781 -4.6710 0.3623
-5.7086 6.4410 5.2289
ATOMIC_POSITIONS angstrom
Ca -1.2390 -2.3355 0.1812
Ca -0.8080 0.2337 -2.5130
Ca -5.3853 3.0131 2.0117
Ca -4.4172 -0.7756 -1.4464
Pr -2.4843 1.3900 0.9280
Pr -7.3182 0.8475 -0.3627
Zn -5.1168 -0.1658 1.6297
Zn -4.6857 2.4033 -1.0644
```

---

Model 3:
VASP calculation (PBE) on Ca2PrZn after structural relaxation. Values from VASP.

Symmetry: R-3m
Size of the total moment, μB per formula unit: 0.00

Geometry as Quantum ESPRESSO input:
```
&SYSTEM
  ibrav = 0, nat = 4, ntyp = 3
/
ATOMIC_SPECIES
Pr 140.91 Pr.upf
Zn 65.41 Zn.upf
Ca 40.08 Ca.upf
CELL_PARAMETERS angstrom
3.6436 0.0000 0.0000
1.8218 3.1555 0.0000
1.8218 1.0518 11.7306
ATOMIC_POSITIONS angstrom
Pr 0.0000 0.0000 0.0000
Zn 3.6436 2.1037 5.8653
Ca 1.8218 1.0518 8.1426
Ca 5.4655 3.1555 3.5880
```

---

Referenced to the most stable arrangement, the calculated values in meV per atom are model 1 139; model 2 0; model 3 271.

---

Model 1:
VASP calculation (PBE) on Ca2PrZn3 after structural relaxation. Values from VASP.

Symmetry: P-3m1
Size of the total moment, μB per formula unit: 0.00

Geometry as Quantum ESPRESSO input:
```
&SYSTEM
  ibrav = 0, nat = 6, ntyp = 3
/
ATOMIC_SPECIES
Ca 40.08 Ca.upf
Pr 140.91 Pr.upf
Zn 65.41 Zn.upf
CELL_PARAMETERS angstrom
5.2110 0.0000 0.0000
-2.6055 4.5128 0.0000
0.0000 0.0000 6.4122
ATOMIC_POSITIONS angstrom
Ca 2.6055 1.5043 2.1910
Ca 0.0000 3.0086 4.2212
Pr 0.0000 0.0000 0.0000
Zn 0.0000 0.0000 3.2061
Zn 2.6055 1.5043 5.3929
Zn 0.0000 3.0086 1.0194
```

---

Model 2:
VASP calculation (PBE) on Ca2PrZn3 after structural relaxation. Values from VASP.

Symmetry: P4/mmm
Size of the total moment, μB per formula unit: 0.22

Geometry as Quantum ESPRESSO input:
```
&SYSTEM
  ibrav = 0, nat = 6, ntyp = 3
/
ATOMIC_SPECIES
Ca 40.08 Ca.upf
Pr 140.91 Pr.upf
Zn 65.41 Zn.upf
CELL_PARAMETERS angstrom
-2.5402 1.8712 -1.9079
-2.3865 -2.7729 0.4580
-3.6273 4.6776 9.4173
ATOMIC_POSITIONS angstrom
Ca -5.4935 3.4567 7.1421
Ca -3.0605 0.3192 0.8254
Pr -4.2770 1.8879 3.9838
Zn 0.0000 0.0000 0.0000
Zn -2.4177 3.1177 6.2769
Zn -1.2096 1.5599 3.1405
```

---

Referenced to the most stable arrangement, the calculated values in meV per atom are model 1 0; model 2 19.